Here is an optimized crystal structure of NiPNF2 from Alexandria via LeMat-Bulk. Energies are from GGA+U.

Cell: 4.2562 4.2562 3.3123 Å, 90.00 90.00 90.00°
Closest atoms and distances in Å follow each position.
Element x y z (fractional)
Ni 0.0000 0.0000 0.0000  8 F 2.70, 4 N 3.01
P 0.5000 0.5000 0.5000  2 N 1.66
N 0.5000 0.5000 0.0000  2 P 1.66
F 0.0000 0.5000 0.5000  2 P 2.13
F 0.5000 0.0000 0.5000  2 P 2.13

## Properties
Space group: P4/mmm, No. 123
Calculated volume, Å³ per cell: 60.00
Electronic total energy, eV per atom: -4.25
DOS(E_F), states/eV per atom: 0.271